Entry from Alexandria via LeMat-Bulk: Hg3Te after structural relaxation (GGA-PBE).

abc: 3.261 3.261 12.737
angles: 90.00 90.00 120.00
Fractional coordinates of all 4 atoms:
Hg: 0.000 0.000 0.000
Hg: 0.333 0.667 0.237
Hg: 0.333 0.667 0.763
Te: 0.000 0.000 0.500

Results
The space-group type is P-6m2, No. 187. For the formation energy from raw total energies, the calculation gives 122 meV per atom. Its energy above the most stable polymorph in this dataset is 132.4 meV/atom.



Entry from Alexandria via LeMat-Bulk: Hg4Te3 after structural relaxation (GGA-PBE).

abc: 6.483 6.483 5.726
angles: 90.00 90.00 120.00
Fractional coordinates of all 7 atoms:
Hg: 0.000 0.000 0.243
Hg: 0.000 0.000 0.757
Hg: 0.333 0.667 0.000
Hg: 0.667 0.333 0.000
Te: 0.000 0.500 0.500
Te: 0.500 0.000 0.500
Te: 0.500 0.500 0.500

Results
The space-group type is P6/mmm, No. 191. For the formation energy from raw total energies, the calculation gives 157 meV per atom. Its energy above the most stable polymorph in this dataset is 143.5 meV/atom.



Entry from Alexandria via LeMat-Bulk: HgTe4 after structural relaxation (GGA-PBE).

abc: 5.588 5.588 5.588
angles: 90.00 90.00 90.00
Fractional coordinates of all 5 atoms:
Hg: 0.000 0.000 0.000
Te: 0.000 0.000 0.500
Te: 0.000 0.500 0.000
Te: 0.500 0.000 0.000
Te: 0.500 0.500 0.500

Results
The space-group type is Pm-3m, No. 221. For the formation energy from raw total energies, the calculation gives 680 meV per atom.